# 1
Compound: Os3PbO
Source: Alexandria
Functional: meta-GGA SCAN
Structure: PBEsol geometry

CIF file:
```
data_Os3PbO
_chemical_formula_sum 'Os3 Pb1 O1'
_symmetry_space_group_name_H-M 'P m -3 m'
_symmetry_Int_Tables_number 221
_symmetry_space_group_name_Hall '-P 4 2 3'
_cell_length_a 4.1734
_cell_length_b 4.1734
_cell_length_c 4.1734
_cell_angle_alpha 90.00
_cell_angle_beta 90.00
_cell_angle_gamma 90.00
loop_
_atom_site_label
_atom_site_type_symbol
_atom_site_fract_x
_atom_site_fract_y
_atom_site_fract_z
Os1 Os 0.0000 0.0000 0.5000
Pb1 Pb 0.5000 0.5000 0.5000
O1 O 0.0000 0.0000 0.0000
```

Values from the calculation:
size of the total moment = 0.00 μB/f.u.
V = 73 Å³ per cell
E_form (uncorrected) = 1.3393 eV/atom



# 2
Compound: AlIr2I
Source: Alexandria
Functional: meta-GGA SCAN
Structure: PBEsol geometry

CIF file:
```
data_AlIr2I
_chemical_formula_sum 'Al4 Ir8 I4'
_symmetry_space_group_name_H-M 'F m -3 m'
_symmetry_Int_Tables_number 225
_symmetry_space_group_name_Hall '-F 4 2 3'
_cell_length_a 6.4110
_cell_length_b 6.4110
_cell_length_c 6.4110
_cell_angle_alpha 90.00
_cell_angle_beta 90.00
_cell_angle_gamma 90.00
loop_
_atom_site_label
_atom_site_type_symbol
_atom_site_fract_x
_atom_site_fract_y
_atom_site_fract_z
Al1 Al 0.0000 0.0000 0.0000
Ir1 Ir 0.2500 0.2500 0.2500
I1 I 0.0000 0.0000 0.5000
```

Values from the calculation:
size of the total moment = 0.00 μB/f.u.
V = 264 Å³ per cell
E_form (uncorrected) = 0.6525 eV/atom



# 3
Compound: Al2AsPd
Source: Alexandria
Functional: meta-GGA SCAN
Structure: PBEsol geometry

CIF file:
```
data_Al2AsPd
_chemical_formula_sum 'Al8 As4 Pd4'
_symmetry_space_group_name_H-M 'I -4 2 d'
_symmetry_Int_Tables_number 122
_symmetry_space_group_name_Hall 'I -4 2bw'
_cell_length_a 6.1811
_cell_length_b 6.1811
_cell_length_c 8.7209
_cell_angle_alpha 90.00
_cell_angle_beta 90.00
_cell_angle_gamma 90.00
loop_
_atom_site_label
_atom_site_type_symbol
_atom_site_fract_x
_atom_site_fract_y
_atom_site_fract_z
Al1 Al 0.2461 0.2500 0.1250
As1 As 0.0000 0.0000 0.5000
Pd1 Pd 0.0000 0.0000 0.0000
```

Values from the calculation:
size of the total moment = 0.00 μB/f.u.
V = 333 Å³ per cell
energy = -17.30 eV/atom